Record 1
A geometry-optimized Er2AgPb structure. Source: the Alexandria database, functional PBE.

Calculated values
Formation energy from the elements   -0.362 eV/atom

abc: 5.0142 5.0142 4.0590
angles: 90.00 90.00 90.00
Fractional positions:
1 Er 0.0000 0.5000 0.0000
2 Er 0.5000 0.0000 0.0000
3 Ag 0.0000 0.0000 0.5000
4 Pb 0.5000 0.5000 0.5000



Record 2
A geometry-optimized SrSnP2S structure. Source: the Alexandria database, functional PBE.

Calculated values
Formation energy from raw total energies   0.8108 eV/atom

abc: 5.4138 5.4138 5.4094
angles: 90.00 90.00 90.00
Fractional positions:
1 Sr 0.0000 0.0000 0.0000
2 Sn 0.5000 0.5000 0.5000
3 P 0.0000 0.5000 0.0000
4 P 0.5000 0.0000 0.0000
5 S 0.0000 0.0000 0.5000



Record 3
A geometry-optimized KAlSn2 structure. Source: the Alexandria database, functional PBE.

Calculated values
Formation energy from the elements   -0.077 eV/atom

abc: 3.7881 3.7881 7.9341
angles: 90.00 90.00 90.00
Fractional positions:
1 K 0.0000 0.0000 0.0000
2 Al 0.0000 0.0000 0.5000
3 Sn 0.5000 0.5000 0.3156
4 Sn 0.5000 0.5000 0.6844



Number 1: total moment 0.422 μB/f.u.. Number 2: total moment 0.464 μB/f.u.. Number 3: total moment 0.000 μB/f.u..